A relaxed structure of InAu3. Source: Alexandria via LeMat-Bulk, functional GGA-PBE.

Properties
**ΔH_f (0 K)**: -0.020 eV per atom
**E**: -37.95 eV per cell

```
data_InAu3
_chemical_formula_sum 'In3 Au9'
_space_group_name_H-M_alt 'R -3 m'
_space_group_IT_number 166
_space_group_name_Hall '-R 3 2"'
_cell_length_a 3.4892
_cell_length_b 3.4892
_cell_length_c 23.6183
_cell_angle_alpha 90.00
_cell_angle_beta 90.00
_cell_angle_gamma 120.00
loop_
_atom_site_label
_atom_site_type_symbol
_atom_site_fract_x
_atom_site_fract_y
_atom_site_fract_z
In1 In 0.0000 0.0000 0.0000
Au1 Au 0.0000 0.0000 0.2495
Au2 Au 0.0000 0.0000 0.5000
```


A relaxed structure of In3Au. Source: Alexandria via LeMat-Bulk, functional GGA-PBE.

Properties
**ΔH_f (0 K)**: -0.059 eV per atom
**E**: -11.73 eV per cell

```
data_In3Au
_chemical_formula_sum 'In3 Au1'
_space_group_name_H-M_alt 'P 1 2/m 1'
_space_group_IT_number 10
_cell_length_a 4.187
_cell_length_b 4.504
_cell_length_c 5.756
_cell_angle_alpha 90.00
_cell_angle_beta 108.32
_cell_angle_gamma 90.00
loop_
_space_group_symop_operation_xyz
'x,y,z'
'-x,-y,-z'
'-x,y,-z'
'x,-y,z'
loop_
_atom_site_label
_atom_site_type_symbol
_atom_site_fract_x
_atom_site_fract_y
_atom_site_fract_z
In1 In 0.000 0.000 0.000
In2 In 0.313 0.500 0.728
Au1 Au 0.500 0.000 0.500
```


A relaxed structure of In3Au. Source: Alexandria via LeMat-Bulk, functional GGA-PBE.

Properties
**ΔH_f (0 K)**: -0.069 eV per atom
**E**: -23.54 eV per cell

```
data_In3Au
_chemical_formula_sum 'In6 Au2'
_space_group_name_H-M_alt 'C 1 2/m 1'
_space_group_IT_number 12
_cell_length_a 8.847
_cell_length_b 3.711
_cell_length_c 6.311
_cell_angle_alpha 90.00
_cell_angle_beta 104.27
_cell_angle_gamma 90.00
loop_
_space_group_symop_operation_xyz
'x,y,z'
'-x,-y,-z'
'-x,y,-z'
'x,-y,z'
'x+1/2,y+1/2,z'
'-x+1/2,-y+1/2,-z'
'-x+1/2,y+1/2,-z'
'x+1/2,-y+1/2,z'
loop_
_atom_site_label
_atom_site_type_symbol
_atom_site_fract_x
_atom_site_fract_y
_atom_site_fract_z
In1 In 0.000 0.000 0.000
In2 In 0.238 0.000 0.713
Au1 Au 0.000 0.500 0.500
```


A relaxed structure of In4Au. Source: Alexandria via LeMat-Bulk, functional GGA-PBE.

Properties
**ΔH_f (0 K)**: 0.117 eV per atom
**E**: -13.65 eV per cell

```
data_In4Au
_chemical_formula_sum 'In4 Au1'
_space_group_name_H-M_alt 'P m -3 m'
_space_group_IT_number 221
_space_group_name_Hall '-P 4 2 3'
_cell_length_a 5.381
_cell_length_b 5.381
_cell_length_c 5.381
_cell_angle_alpha 90.00
_cell_angle_beta 90.00
_cell_angle_gamma 90.00
loop_
_atom_site_label
_atom_site_type_symbol
_atom_site_fract_x
_atom_site_fract_y
_atom_site_fract_z
In1 In 0.000 0.000 0.000
In2 In 0.000 0.500 0.500
Au1 Au 0.500 0.500 0.500
```


A relaxed structure of InAu2. Source: Alexandria via LeMat-Bulk, functional GGA-PBE.

Properties
**ΔH_f (0 K)**: -0.033 eV per atom
**E**: -37.57 eV per cell

```
data_InAu2
_chemical_formula_sum 'In4 Au8'
_space_group_name_H-M_alt 'I 41/a m d'
_space_group_IT_number 141
_cell_length_a 3.618
_cell_length_b 3.618
_cell_length_c 19.874
_cell_angle_alpha 90.00
_cell_angle_beta 90.00
_cell_angle_gamma 90.00
loop_
_space_group_symop_operation_xyz
'x,y,z'
'-x,-y,-z'
'-y+1/4,x+3/4,z+1/4'
'y+1/4,-x+3/4,-z+1/4'
'-x+1/2,-y,z+1/2'
'x+1/2,y,-z+1/2'
'y+1/4,-x+1/4,z+3/4'
'-y+1/4,x+1/4,-z+3/4'
'x,-y,-z'
'-x,y,z'
'-y+1/4,-x+1/4,-z+3/4'
'y+1/4,x+1/4,z+3/4'
'-x+1/2,y,-z+1/2'
'x+1/2,-y,z+1/2'
'y+1/4,x+3/4,-z+1/4'
'-y+1/4,-x+3/4,z+1/4'
'x+1/2,y+1/2,z+1/2'
'-x+1/2,-y+1/2,-z+1/2'
'-y+3/4,x+1/4,z+3/4'
'y+3/4,-x+1/4,-z+3/4'
'-x,-y+1/2,z'
'x,y+1/2,-z'
'y+3/4,-x+3/4,z+1/4'
'-y+3/4,x+3/4,-z+1/4'
'x+1/2,-y+1/2,-z+1/2'
'-x+1/2,y+1/2,z+1/2'
'-y+3/4,-x+3/4,-z+1/4'
'y+3/4,x+3/4,z+1/4'
'-x,y+1/2,-z'
'x,-y+1/2,z'
'y+3/4,x+1/4,-z+3/4'
'-y+3/4,-x+1/4,z+3/4'
loop_
_atom_site_label
_atom_site_type_symbol
_atom_site_fract_x
_atom_site_fract_y
_atom_site_fract_z
In1 In 0.000 0.250 0.375
Au1 Au 0.000 0.250 0.803
```


A relaxed structure of In2Au5. Source: Alexandria via LeMat-Bulk, functional GGA-PBE.

Properties
**ΔH_f (0 K)**: -0.058 eV per atom
**E**: -44.54 eV per cell

```
data_In2Au5
_chemical_formula_sum 'In4 Au10'
_space_group_name_H-M_alt 'C 1 2/m 1'
_space_group_IT_number 12
_cell_length_a 7.849
_cell_length_b 6.961
_cell_length_c 6.384
_cell_angle_alpha 90.00
_cell_angle_beta 121.54
_cell_angle_gamma 90.00
loop_
_space_group_symop_operation_xyz
'x,y,z'
'-x,-y,-z'
'-x,y,-z'
'x,-y,z'
'x+1/2,y+1/2,z'
'-x+1/2,-y+1/2,-z'
'-x+1/2,y+1/2,-z'
'x+1/2,-y+1/2,z'
loop_
_atom_site_label
_atom_site_type_symbol
_atom_site_fract_x
_atom_site_fract_y
_atom_site_fract_z
In1 In 0.242 0.000 0.044
Au1 Au 0.000 0.000 0.500
Au2 Au 0.115 0.284 0.258
```


A relaxed structure of In7Au6. Source: Alexandria via LeMat-Bulk, functional GGA-PBE.

Properties
**ΔH_f (0 K)**: 0.083 eV per atom
**E**: -113.25 eV per cell

```
data_In7Au6
_chemical_formula_sum 'In21 Au18'
_space_group_name_H-M_alt 'R -3 m'
_space_group_IT_number 166
_space_group_name_Hall '-R 3 2"'
_cell_length_a 6.4702
_cell_length_b 6.4702
_cell_length_c 26.0396
_cell_angle_alpha 90.00
_cell_angle_beta 90.00
_cell_angle_gamma 120.00
loop_
_atom_site_label
_atom_site_type_symbol
_atom_site_fract_x
_atom_site_fract_y
_atom_site_fract_z
In1 In 0.0000 0.0000 0.0000
In2 In 0.0122 0.5061 0.4186
Au1 Au 0.0000 0.0000 0.1643
Au2 Au 0.0000 0.0000 0.3375
Au3 Au 0.0000 0.0000 0.4450
```


A relaxed structure of InAu2. Source: Alexandria via LeMat-Bulk, functional GGA-PBE.

Properties
**ΔH_f (0 K)**: -0.126 eV per atom
**E**: -38.68 eV per cell

```
data_InAu2
_chemical_formula_sum 'In4 Au8'
_space_group_name_H-M_alt 'C 1 2/c 1'
_space_group_IT_number 15
_cell_length_a 3.481
_cell_length_b 9.084
_cell_length_c 7.872
_cell_angle_alpha 90.00
_cell_angle_beta 93.37
_cell_angle_gamma 90.00
loop_
_space_group_symop_operation_xyz
'x,y,z'
'-x,-y,-z'
'-x,y,-z+1/2'
'x,-y,z+1/2'
'x+1/2,y+1/2,z'
'-x+1/2,-y+1/2,-z'
'-x+1/2,y+1/2,-z+1/2'
'x+1/2,-y+1/2,z+1/2'
loop_
_atom_site_label
_atom_site_type_symbol
_atom_site_fract_x
_atom_site_fract_y
_atom_site_fract_z
In1 In 0.000 0.077 0.250
Au1 Au 0.004 0.359 0.070
```